Entry 1:
Computed, not measured: an optimized crystal structure of Cd3Au at the PBEsol level of DFT.

```
data_Cd3Au
_chemical_formula_sum 'Cd3 Au1'
_cell_length_a 3.129
_cell_length_b 4.745
_cell_length_c 5.137
_cell_angle_alpha 90.00
_cell_angle_beta 90.00
_cell_angle_gamma 90.00
_symmetry_space_group_name_H-M 'P m m 2'
_symmetry_Int_Tables_number 25
_symmetry_space_group_name_Hall 'P 2 -2'
loop_
_atom_site_label
_atom_site_fract_x
_atom_site_fract_y
_atom_site_fract_z
Cd1 0.000 0.000 0.000
Cd2 0.000 0.500 0.344
Cd3 0.500 0.500 0.835
Au1 0.500 0.000 0.503
```

Output
ΔE_f, eV/atom: -0.102
Calculated volume, A^3/atom: 19.070
Magnetic moment, μB per formula unit: 0.000

***

Entry 2:
Computed, not measured: an optimized crystal structure of TlFeTeF2 at the PBEsol level of DFT.

```
data_TlFeTeF2
_chemical_formula_sum 'Tl1 Fe1 Te1 F2'
_cell_length_a 4.419
_cell_length_b 4.419
_cell_length_c 4.825
_cell_angle_alpha 90.00
_cell_angle_beta 90.00
_cell_angle_gamma 90.00
_symmetry_space_group_name_H-M 'P 4/m m m'
_symmetry_Int_Tables_number 123
_symmetry_space_group_name_Hall '-P 4 2'
loop_
_atom_site_label
_atom_site_fract_x
_atom_site_fract_y
_atom_site_fract_z
Tl1 0.000 0.000 0.000
Fe1 0.500 0.500 0.000
Te1 0.500 0.500 0.500
F1 0.000 0.500 0.500
```

Output
E_form (uncorrected), eV/atom: -0.555
Calculated volume, A^3/atom: 18.846
Magnetic moment, μB per formula unit: 1.705

***

Entry 3:
Computed, not measured: an optimized crystal structure of AlGa3N4 at the PBEsol level of DFT.

```
data_AlGa3N4
_chemical_formula_sum 'Al1 Ga3 N4'
_cell_length_a 5.141
_cell_length_b 3.163
_cell_length_c 5.476
_cell_angle_alpha 90.00
_cell_angle_beta 90.04
_cell_angle_gamma 90.00
_symmetry_space_group_name_H-M 'P 1 m 1'
_symmetry_Int_Tables_number 6
_symmetry_space_group_name_Hall 'P -2y'
loop_
_atom_site_label
_atom_site_fract_x
_atom_site_fract_y
_atom_site_fract_z
Al1 0.000 0.000 0.000
Ga1 0.001 0.500 0.501
Ga2 0.501 0.000 0.333
Ga3 0.502 0.500 0.836
N1 0.370 0.000 0.000
N2 0.380 0.500 0.501
N3 0.881 0.000 0.327
N4 0.883 0.500 0.841
```

Output
E_form (uncorrected), eV/atom: -0.852
Calculated volume, A^3/atom: 11.130
Magnetic moment, μB per formula unit: 0.000
Distance to the lowest polymorph of the same formula, meV per atom: 0

***

Entry 4:
Computed, not measured: an optimized crystal structure of Mo at the PBEsol level of DFT.

```
data_Mo
_chemical_formula_sum 'Mo4'
_cell_length_a 4.994
_cell_length_b 4.994
_cell_length_c 2.609
_cell_angle_alpha 90.00
_cell_angle_beta 90.00
_cell_angle_gamma 90.00
_symmetry_space_group_name_H-M 'I 41/a m d'
_symmetry_Int_Tables_number 141
loop_
_symmetry_equiv_pos_as_xyz
'x,y,z'
'-x,-y,-z'
'-y+1/4,x+3/4,z+1/4'
'y+1/4,-x+3/4,-z+1/4'
'-x+1/2,-y,z+1/2'
'x+1/2,y,-z+1/2'
'y+1/4,-x+1/4,z+3/4'
'-y+1/4,x+1/4,-z+3/4'
'x,-y,-z'
'-x,y,z'
'-y+1/4,-x+1/4,-z+3/4'
'y+1/4,x+1/4,z+3/4'
'-x+1/2,y,-z+1/2'
'x+1/2,-y,z+1/2'
'y+1/4,x+3/4,-z+1/4'
'-y+1/4,-x+3/4,z+1/4'
'x+1/2,y+1/2,z+1/2'
'-x+1/2,-y+1/2,-z+1/2'
'-y+3/4,x+1/4,z+3/4'
'y+3/4,-x+1/4,-z+3/4'
'-x,-y+1/2,z'
'x,y+1/2,-z'
'y+3/4,-x+3/4,z+1/4'
'-y+3/4,x+3/4,-z+1/4'
'x+1/2,-y+1/2,-z+1/2'
'-x+1/2,y+1/2,z+1/2'
'-y+3/4,-x+3/4,-z+1/4'
'y+3/4,x+3/4,z+1/4'
'-x,y+1/2,-z'
'x,-y+1/2,z'
'y+3/4,x+1/4,-z+3/4'
'-y+3/4,-x+1/4,z+3/4'
loop_
_atom_site_label
_atom_site_fract_x
_atom_site_fract_y
_atom_site_fract_z
Mo1 0.000 0.250 0.375
```

Output
ΔE_f, eV/atom: 0.870
Calculated volume, A^3/atom: 16.266
Magnetic moment, μB per formula unit: 0.000
Distance to the lowest polymorph of the same formula, meV per atom: 870

***

Entry 5:
Computed, not measured: an optimized crystal structure of BaTi2Bi2O at the PBEsol level of DFT.

```
data_BaTi2Bi2O
_chemical_formula_sum 'Ba1 Ti2 Bi2 O1'
_cell_length_a 4.064
_cell_length_b 4.064
_cell_length_c 8.497
_cell_angle_alpha 90.00
_cell_angle_beta 90.00
_cell_angle_gamma 90.00
_symmetry_space_group_name_H-M 'P 4/m m m'
_symmetry_Int_Tables_number 123
_symmetry_space_group_name_Hall '-P 4 2'
loop_
_atom_site_label
_atom_site_fract_x
_atom_site_fract_y
_atom_site_fract_z
Ba1 0.000 0.000 0.000
Ti1 0.000 0.500 0.500
Bi1 0.500 0.500 0.251
O1 0.000 0.000 0.500
```

Output
E_form (uncorrected), eV/atom: -1.264
Calculated volume, A^3/atom: 23.390
Magnetic moment, μB per formula unit: 0.003

***

Entry 6:
Computed, not measured: an optimized crystal structure of SrLiCo2 at the PBEsol level of DFT.

```
data_SrLiCo2
_chemical_formula_sum 'Sr2 Li2 Co4'
_cell_length_a 3.832
_cell_length_b 3.832
_cell_length_c 8.925
_cell_angle_alpha 90.00
_cell_angle_beta 90.00
_cell_angle_gamma 90.00
_symmetry_space_group_name_H-M 'I 4/m m m'
_symmetry_Int_Tables_number 139
_symmetry_space_group_name_Hall '-I 4 2'
loop_
_atom_site_label
_atom_site_fract_x
_atom_site_fract_y
_atom_site_fract_z
Sr1 0.000 0.000 0.000
Li1 0.000 0.000 0.500
Co1 0.000 0.500 0.250
```

Output
ΔE_f, eV/atom: 0.738
Calculated volume, A^3/atom: 16.382
Magnetic moment, μB per formula unit: 2.609
Distance to the lowest polymorph of the same formula, meV per atom: 304

***

Entry 7:
Computed, not measured: an optimized crystal structure of ScNiP3 at the PBEsol level of DFT.

```
data_ScNiP3
_chemical_formula_sum 'Sc1 Ni1 P3'
_cell_length_a 4.767
_cell_length_b 4.767
_cell_length_c 4.767
_cell_angle_alpha 90.00
_cell_angle_beta 90.00
_cell_angle_gamma 90.00
_symmetry_space_group_name_H-M 'P m -3 m'
_symmetry_Int_Tables_number 221
_symmetry_space_group_name_Hall '-P 4 2 3'
loop_
_atom_site_label
_atom_site_fract_x
_atom_site_fract_y
_atom_site_fract_z
Sc1 0.000 0.000 0.000
Ni1 0.500 0.500 0.500
P1 0.000 0.000 0.500
```

Output
ΔE_f, eV/atom: 0.986
Calculated volume, A^3/atom: 21.669
Magnetic moment, μB per formula unit: 0.595

***

Entry 8:
Computed, not measured: an optimized crystal structure of CaGaSCl2 at the PBEsol level of DFT.

```
data_CaGaSCl2
_chemical_formula_sum 'Ca1 Ga1 S1 Cl2'
_cell_length_a 5.193
_cell_length_b 5.193
_cell_length_c 5.407
_cell_angle_alpha 90.00
_cell_angle_beta 90.00
_cell_angle_gamma 90.00
_symmetry_space_group_name_H-M 'P 4/m m m'
_symmetry_Int_Tables_number 123
_symmetry_space_group_name_Hall '-P 4 2'
loop_
_atom_site_label
_atom_site_fract_x
_atom_site_fract_y
_atom_site_fract_z
Ca1 0.000 0.000 0.000
Ga1 0.500 0.500 0.500
S1 0.000 0.000 0.500
Cl1 0.000 0.500 0.000
```

Output
E_form (uncorrected), eV/atom: -0.929
Calculated volume, A^3/atom: 29.164
Magnetic moment, μB per formula unit: 1.009

***

Entry 9:
Computed, not measured: an optimized crystal structure of InRhPb2 at the PBEsol level of DFT.

```
data_InRhPb2
_chemical_formula_sum 'In2 Rh2 Pb4'
_cell_length_a 4.681
_cell_length_b 4.681
_cell_length_c 8.151
_cell_angle_alpha 90.00
_cell_angle_beta 90.00
_cell_angle_gamma 90.00
_symmetry_space_group_name_H-M 'I 4/m m m'
_symmetry_Int_Tables_number 139
_symmetry_space_group_name_Hall '-I 4 2'
loop_
_atom_site_label
_atom_site_fract_x
_atom_site_fract_y
_atom_site_fract_z
In1 0.000 0.000 0.000
Rh1 0.000 0.000 0.500
Pb1 0.000 0.500 0.250
```

Output
ΔE_f, eV/atom: 0.208
Calculated volume, A^3/atom: 22.322
Magnetic moment, μB per formula unit: 0.000

***

Entry 10:
Computed, not measured: an optimized crystal structure of NaPtRh2O at the PBEsol level of DFT.

```
data_NaPtRh2O
_chemical_formula_sum 'Na1 Pt1 Rh2 O1'
_cell_length_a 4.581
_cell_length_b 4.581
_cell_length_c 3.660
_cell_angle_alpha 90.00
_cell_angle_beta 90.00
_cell_angle_gamma 90.00
_symmetry_space_group_name_H-M 'P 4/m m m'
_symmetry_Int_Tables_number 123
_symmetry_space_group_name_Hall '-P 4 2'
loop_
_atom_site_label
_atom_site_fract_x
_atom_site_fract_y
_atom_site_fract_z
Na1 0.000 0.000 0.000
Pt1 0.500 0.500 0.500
Rh1 0.000 0.500 0.000
O1 0.000 0.000 0.500
```

Output
E_form (uncorrected), eV/atom: 1.632
Calculated volume, A^3/atom: 15.364
Magnetic moment, μB per formula unit: 3.409

***

Entry 11:
Computed, not measured: an optimized crystal structure of Ba3GaTe at the PBEsol level of DFT.

```
data_Ba3GaTe
_chemical_formula_sum 'Ba3 Ga1 Te1'
_cell_length_a 6.469
_cell_length_b 6.469
_cell_length_c 6.469
_cell_angle_alpha 90.00
_cell_angle_beta 90.00
_cell_angle_gamma 90.00
_symmetry_space_group_name_H-M 'P m -3 m'
_symmetry_Int_Tables_number 221
_symmetry_space_group_name_Hall '-P 4 2 3'
loop_
_atom_site_label
_atom_site_fract_x
_atom_site_fract_y
_atom_site_fract_z
Ba1 0.000 0.000 0.500
Ga1 0.500 0.500 0.500
Te1 0.000 0.000 0.000
```

Output
E_form (uncorrected), eV/atom: -0.340
Calculated volume, A^3/atom: 54.141
Magnetic moment, μB per formula unit: 1.309

***

Entry 12:
Computed, not measured: an optimized crystal structure of TaCd3Cu at the PBEsol level of DFT.

```
data_TaCd3Cu
_chemical_formula_sum 'Ta1 Cd3 Cu1'
_cell_length_a 5.298
_cell_length_b 5.298
_cell_length_c 5.298
_cell_angle_alpha 90.00
_cell_angle_beta 90.00
_cell_angle_gamma 90.00
_symmetry_space_group_name_H-M 'P m -3 m'
_symmetry_Int_Tables_number 221
_symmetry_space_group_name_Hall '-P 4 2 3'
loop_
_atom_site_label
_atom_site_fract_x
_atom_site_fract_y
_atom_site_fract_z
Ta1 0.000 0.000 0.000
Cd1 0.000 0.000 0.500
Cu1 0.500 0.500 0.500
```

Output
ΔE_f, eV/atom: 1.635
Calculated volume, A^3/atom: 29.733
Magnetic moment, μB per formula unit: 1.276